No. 1
Density functional theory data (PBE) for a relaxed Na2Tl5Sb crystal.

It has space group P-1 (No. 2), with a = 6.923 Å, b = 6.949 Å, c = 10.986 Å, α = 73.39°, β = 85.60° and γ = 71.67°. The distinct sites, in fractional coordinates, are Na at (0.237, 0.059, 0.030), Na at (0.261, 0.323, 0.480), Tl at (0.010, 0.751, 0.251), Tl at (0.237, 0.829, 0.480), Tl at (0.241, 0.558, 0.020), Tl at (0.439, 0.377, 0.762), Tl at (0.448, 0.876, 0.748) and Sb at (0.019, 0.264, 0.256).

The calculation puts the density of states at the Fermi level at 0.4171 states/eV/atom. For the uncorrected formation energy, the calculation gives -86 meV/atom.

=====

No. 2
Density functional theory data (PBE) for a relaxed NaTlVSb2 crystal.

It has space group P4/mmm (No. 123), with a = 5.787 Å, b = 5.787 Å, c = 5.194 Å, α = 90.00°, β = 90.00° and γ = 90.00°. The distinct sites, in fractional coordinates, are Na at (0.000, 0.000, 0.000), Tl at (0.500, 0.500, 0.500), V at (0.500, 0.500, 0.000) and Sb at (0.000, 0.500, 0.500).

The calculation puts the density of states at the Fermi level at 1.5719 states/eV/atom. For the uncorrected formation energy, the calculation gives 1067 meV/atom.

=====

No. 3
Density functional theory data (PBE) for a relaxed NaYTlSb2 crystal.

It has space group P4/mmm (No. 123), with a = 5.777 Å, b = 5.777 Å, c = 6.233 Å, α = 90.00°, β = 90.00° and γ = 90.00°. The distinct sites, in fractional coordinates, are Na at (0.000, 0.000, 0.000), Y at (0.000, 0.000, 0.500), Tl at (0.500, 0.500, 0.000) and Sb at (0.000, 0.500, 0.500).

The calculation puts the density of states at the Fermi level at 0.6095 states/eV/atom. For the uncorrected formation energy, the calculation gives 148 meV/atom.

=====

No. 4
Density functional theory data (PBE) for a relaxed NaTl2ZnSb2 crystal.

It has space group Pmc2_1 (No. 26), with a = 4.761 Å, b = 9.174 Å, c = 7.870 Å, α = 90.00°, β = 90.00° and γ = 90.00°. The distinct sites, in fractional coordinates, are Na at (0.000, 0.049, 0.000), Tl at (0.000, 0.342, 0.320), Tl at (0.500, 0.408, 0.996), Zn at (0.500, 0.155, 0.631), Sb at (0.000, 0.301, 0.716) and Sb at (0.500, 0.118, 0.279).

The calculation puts the density of states at the Fermi level at 0.4531 states/eV/atom. For the uncorrected formation energy, the calculation gives -113 meV/atom.

=====

No. 5
Density functional theory data (PBE) for a relaxed NaZrTl2Sb crystal.

It has space group P4/mmm (No. 123), with a = 5.187 Å, b = 5.187 Å, c = 5.630 Å, α = 90.00°, β = 90.00° and γ = 90.00°. The distinct sites, in fractional coordinates, are Na at (0.000, 0.000, 0.000), Zr at (0.000, 0.000, 0.500), Tl at (0.000, 0.500, 0.000) and Sb at (0.500, 0.500, 0.500).

The calculation puts the density of states at the Fermi level at 0.9072 states/eV/atom. For the uncorrected formation energy, the calculation gives 835 meV/atom.

=====

No. 6
Density functional theory data (PBE) for a relaxed NaTmSb2 crystal.

It has space group P4/mmm (No. 123), with a = 3.999 Å, b = 3.999 Å, c = 6.903 Å, α = 90.00°, β = 90.00° and γ = 90.00°. The distinct sites, in fractional coordinates, are Na at (0.000, 0.000, 0.000), Tm at (0.000, 0.000, 0.500) and Sb at (0.500, 0.500, 0.276).

The calculation puts the density of states at the Fermi level at 0.4702 states/eV/atom. For the uncorrected formation energy, the calculation gives -559 meV/atom. As for the energy above the most stable polymorph in this dataset: 0.000 eV per atom.

=====

No. 7
Density functional theory data (PBE) for a relaxed NaTmSb2 crystal.

It has space group P4/mmm (No. 123), with a = 4.971 Å, b = 4.971 Å, c = 4.207 Å, α = 90.00°, β = 90.00° and γ = 90.00°. The distinct sites, in fractional coordinates, are Na at (0.000, 0.000, 0.000), Tm at (0.500, 0.500, 0.000) and Sb at (0.000, 0.500, 0.500).

The calculation puts the density of states at the Fermi level at 0.5054 states/eV/atom. For the uncorrected formation energy, the calculation gives -516 meV/atom. As for the energy above the most stable polymorph in this dataset: 0.043 eV per atom.

=====

No. 8
Density functional theory data (PBE) for a relaxed NaTmSb2 crystal.

It has space group R-3m (No. 166, hexagonal axes), with a = 5.0360 Å, b = 5.0360 Å, c = 14.9401 Å, α = 90.00°, β = 90.00° and γ = 120.00°. The distinct sites, in fractional coordinates, are Na at (0.0000, 0.0000, 0.0000), Tm at (0.0000, 0.0000, 0.5000) and Sb at (0.0000, 0.0000, 0.2497).

The calculation puts the density of states at the Fermi level at 0.4913 states/eV/atom. For the uncorrected formation energy, the calculation gives -464 meV/atom. As for the energy above the most stable polymorph in this dataset: 0.095 eV per atom.

=====

Please write out number 7 again, unchanged.
Density functional theory data (PBE) for a relaxed NaTmSb2 crystal.

It has space group P4/mmm (No. 123), with a = 4.971 Å, b = 4.971 Å, c = 4.207 Å, α = 90.00°, β = 90.00° and γ = 90.00°. The distinct sites, in fractional coordinates, are Na at (0.000, 0.000, 0.000), Tm at (0.500, 0.500, 0.000) and Sb at (0.000, 0.500, 0.500).

The calculation puts the density of states at the Fermi level at 0.5054 states/eV/atom. For the uncorrected formation energy, the calculation gives -516 meV/atom. As for the energy above the most stable polymorph in this dataset: 0.043 eV per atom.